Entry 1:
A plane-wave DFT calculation with PBE-GGA was carried out for MgCdSnPd after structural relaxation.

CIF file:
```
data_MgCdSnPd
_chemical_formula_sum 'Mg4 Cd4 Sn4 Pd4'
_symmetry_space_group_name_H-M 'F -4 3 m'
_symmetry_Int_Tables_number 216
_symmetry_space_group_name_Hall 'F -4 2 3'
_cell_length_a 6.827
_cell_length_b 6.827
_cell_length_c 6.827
_cell_angle_alpha 90.00
_cell_angle_beta 90.00
_cell_angle_gamma 90.00
loop_
_atom_site_label
_atom_site_fract_x
_atom_site_fract_y
_atom_site_fract_z
Mg1 0.000 0.000 0.000
Cd1 0.250 0.250 0.750
Sn1 0.000 0.000 0.500
Pd1 0.250 0.250 0.250
```

Its density is 7.6 Mg/m³. As for the crystal system: cubic. The value obtained for the excess energy over the best structure of this formula in the dataset is 0.000 eV/atom.

---

Entry 2:
A plane-wave DFT calculation with PBE-GGA was carried out for Tm3Mg3Cd2Pd after structural relaxation.

CIF file:
```
data_Tm3Mg3Cd2Pd
_chemical_formula_sum 'Tm3 Mg3 Cd2 Pd1'
_symmetry_space_group_name_H-M 'P -6 2 m'
_symmetry_Int_Tables_number 189
_symmetry_space_group_name_Hall 'P -6 -2'
_cell_length_a 7.5674
_cell_length_b 7.5674
_cell_length_c 4.2660
_cell_angle_alpha 90.00
_cell_angle_beta 90.00
_cell_angle_gamma 120.00
loop_
_atom_site_label
_atom_site_fract_x
_atom_site_fract_y
_atom_site_fract_z
Tm1 0.0000 0.6013 0.0000
Mg1 0.0000 0.2362 0.5000
Cd1 0.3333 0.6667 0.5000
Pd1 0.0000 0.0000 0.0000
```

The electronic total energy comes out at -3.147 eV/atom. Its density is 7.1 Mg/m³. As for the crystal system: hexagonal. The value obtained for the total magnetization is 0.02 μB/f.u.

---

Entry 3:
A plane-wave DFT calculation with PBE-GGA was carried out for Tm3Mg3CdPd2 after structural relaxation.

CIF file:
```
data_Tm3Mg3CdPd2
_chemical_formula_sum 'Tm3 Mg3 Cd1 Pd2'
_symmetry_space_group_name_H-M 'P -6 2 m'
_symmetry_Int_Tables_number 189
_symmetry_space_group_name_Hall 'P -6 -2'
_cell_length_a 7.4737
_cell_length_b 7.4737
_cell_length_c 4.1284
_cell_angle_alpha 90.00
_cell_angle_beta 90.00
_cell_angle_gamma 120.00
loop_
_atom_site_label
_atom_site_fract_x
_atom_site_fract_y
_atom_site_fract_z
Tm1 0.0000 0.5777 0.0000
Mg1 0.0000 0.2574 0.5000
Cd1 0.0000 0.0000 0.0000
Pd1 0.3333 0.6667 0.5000
```

The electronic total energy comes out at -3.770 eV/atom. Its density is 7.5 Mg/m³. As for the crystal system: hexagonal. The value obtained for the total magnetization is 0.00 μB/f.u.

---

Entry 4:
A plane-wave DFT calculation with PBE-GGA was carried out for PrMg2Cd after structural relaxation.

CIF file:
```
data_PrMg2Cd
_chemical_formula_sum 'Pr2 Mg4 Cd2'
_symmetry_space_group_name_H-M 'I -4 m 2'
_symmetry_Int_Tables_number 119
_symmetry_space_group_name_Hall 'I -4 -2'
_cell_length_a 5.224
_cell_length_b 5.224
_cell_length_c 7.350
_cell_angle_alpha 90.00
_cell_angle_beta 90.00
_cell_angle_gamma 90.00
loop_
_atom_site_label
_atom_site_fract_x
_atom_site_fract_y
_atom_site_fract_z
Pr1 0.000 0.000 0.000
Mg1 0.000 0.000 0.500
Mg2 0.000 0.500 0.750
Cd1 0.000 0.500 0.250
```

The electronic total energy comes out at -2.427 eV/atom. Its density is 5.0 Mg/m³. As for the crystal system: tetragonal. The value obtained for the total magnetization is 0.01 μB/f.u.

---

Entry 5:
A plane-wave DFT calculation with PBE-GGA was carried out for Pr3Mg3Cd2Pt after structural relaxation.

CIF file:
```
data_Pr3Mg3Cd2Pt
_chemical_formula_sum 'Pr3 Mg3 Cd2 Pt1'
_symmetry_space_group_name_H-M 'P -6 2 m'
_symmetry_Int_Tables_number 189
_symmetry_space_group_name_Hall 'P -6 -2'
_cell_length_a 7.8556
_cell_length_b 7.8556
_cell_length_c 4.3791
_cell_angle_alpha 90.00
_cell_angle_beta 90.00
_cell_angle_gamma 120.00
loop_
_atom_site_label
_atom_site_fract_x
_atom_site_fract_y
_atom_site_fract_z
Pr1 0.0000 0.3941 0.0000
Mg1 0.0000 0.7707 0.5000
Cd1 0.3333 0.6667 0.5000
Pt1 0.0000 0.0000 0.0000
```

The electronic total energy comes out at -3.419 eV/atom. Its density is 6.5 Mg/m³. As for the crystal system: hexagonal. The value obtained for the total magnetization is 1.05 μB/f.u.

---

Entry 6:
A plane-wave DFT calculation with PBE-GGA was carried out for PrSm2Mg3Tl2Cd after structural relaxation.

CIF file:
```
data_PrSm2Mg3Tl2Cd
_chemical_formula_sum 'Pr2 Sm4 Mg6 Tl4 Cd2'
_symmetry_space_group_name_H-M 'A m m 2'
_symmetry_Int_Tables_number 38
_symmetry_space_group_name_Hall 'A 2 -2'
_cell_length_a 4.730
_cell_length_b 13.343
_cell_length_c 7.669
_cell_angle_alpha 90.00
_cell_angle_beta 90.00
_cell_angle_gamma 90.00
loop_
_atom_site_label
_atom_site_fract_x
_atom_site_fract_y
_atom_site_fract_z
Pr1 0.000 0.000 0.000
Sm1 0.000 0.211 0.632
Mg1 0.500 0.000 0.660
Mg2 0.500 0.119 0.303
Tl1 0.500 0.168 0.921
Cd1 0.000 0.000 0.424
```

The electronic total energy comes out at -3.067 eV/atom. Its density is 7.1 Mg/m³. As for the crystal system: orthorhombic. The value obtained for the total magnetization is 0.04 μB/f.u.

---

Entry 7:
A plane-wave DFT calculation with PBE-GGA was carried out for Pr2SmMg3Tl2Cd after structural relaxation.

CIF file:
```
data_Pr2SmMg3Tl2Cd
_chemical_formula_sum 'Pr4 Sm2 Mg6 Tl4 Cd2'
_symmetry_space_group_name_H-M 'A m m 2'
_symmetry_Int_Tables_number 38
_symmetry_space_group_name_Hall 'A 2 -2'
_cell_length_a 4.755
_cell_length_b 13.340
_cell_length_c 7.736
_cell_angle_alpha 90.00
_cell_angle_beta 90.00
_cell_angle_gamma 90.00
loop_
_atom_site_label
_atom_site_fract_x
_atom_site_fract_y
_atom_site_fract_z
Pr1 0.000 0.211 0.000
Sm1 0.000 0.000 0.632
Mg1 0.500 0.000 0.972
Mg2 0.500 0.119 0.330
Tl1 0.500 0.166 0.710
Cd1 0.000 0.000 0.213
```

The electronic total energy comes out at -3.076 eV/atom. Its density is 6.9 Mg/m³. As for the crystal system: orthorhombic. The value obtained for the total magnetization is 0.03 μB/f.u.

---

Entry 8:
A plane-wave DFT calculation with PBE-GGA was carried out for SrPr2Mg3Tl2Cd after structural relaxation.

CIF file:
```
data_SrPr2Mg3Tl2Cd
_chemical_formula_sum 'Sr2 Pr4 Mg6 Tl4 Cd2'
_symmetry_space_group_name_H-M 'A m m 2'
_symmetry_Int_Tables_number 38
_symmetry_space_group_name_Hall 'A 2 -2'
_cell_length_a 4.800
_cell_length_b 13.602
_cell_length_c 7.856
_cell_angle_alpha 90.00
_cell_angle_beta 90.00
_cell_angle_gamma 90.00
loop_
_atom_site_label
_atom_site_fract_x
_atom_site_fract_y
_atom_site_fract_z
Sr1 0.000 0.000 0.000
Pr1 0.000 0.210 0.633
Mg1 0.500 0.000 0.656
Mg2 0.500 0.120 0.305
Tl1 0.500 0.172 0.921
Cd1 0.000 0.000 0.426
```

The electronic total energy comes out at -2.706 eV/atom. Its density is 6.2 Mg/m³. As for the crystal system: orthorhombic. The value obtained for the total magnetization is 0.00 μB/f.u.

---

Entry 9:
A plane-wave DFT calculation with PBE-GGA was carried out for Pr2YMg3Tl2Cd after structural relaxation.

CIF file:
```
data_Pr2YMg3Tl2Cd
_chemical_formula_sum 'Pr4 Y2 Mg6 Tl4 Cd2'
_symmetry_space_group_name_H-M 'A m m 2'
_symmetry_Int_Tables_number 38
_symmetry_space_group_name_Hall 'A 2 -2'
_cell_length_a 4.722
_cell_length_b 13.216
_cell_length_c 7.737
_cell_angle_alpha 90.00
_cell_angle_beta 90.00
_cell_angle_gamma 90.00
loop_
_atom_site_label
_atom_site_fract_x
_atom_site_fract_y
_atom_site_fract_z
Pr1 0.000 0.211 0.000
Y1 0.000 0.000 0.633
Mg1 0.500 0.000 0.975
Mg2 0.500 0.119 0.333
Tl1 0.500 0.163 0.711
Cd1 0.000 0.000 0.221
```

The electronic total energy comes out at -3.271 eV/atom. Its density is 6.6 Mg/m³. As for the crystal system: orthorhombic. The value obtained for the total magnetization is 0.00 μB/f.u.

---

Entry 10:
A plane-wave DFT calculation with PBE-GGA was carried out for Pr3Mg3Zn2Cd after structural relaxation.

CIF file:
```
data_Pr3Mg3Zn2Cd
_chemical_formula_sum 'Pr3 Mg3 Zn2 Cd1'
_symmetry_space_group_name_H-M 'P -6 2 m'
_symmetry_Int_Tables_number 189
_symmetry_space_group_name_Hall 'P -6 -2'
_cell_length_a 7.4312
_cell_length_b 7.4312
_cell_length_c 4.7424
_cell_angle_alpha 90.00
_cell_angle_beta 90.00
_cell_angle_gamma 120.00
loop_
_atom_site_label
_atom_site_fract_x
_atom_site_fract_y
_atom_site_fract_z
Pr1 0.0000 0.4293 0.0000
Mg1 0.0000 0.7564 0.5000
Zn1 0.3333 0.6667 0.5000
Cd1 0.0000 0.0000 0.0000
```

The electronic total energy comes out at -2.754 eV/atom. Its density is 5.4 Mg/m³. As for the crystal system: hexagonal. The value obtained for the total magnetization is 0.00 μB/f.u.

---

Entry 11:
A plane-wave DFT calculation with PBE-GGA was carried out for Mg2CdPt2 after structural relaxation.

CIF file:
```
data_Mg2CdPt2
_chemical_formula_sum 'Mg4 Cd2 Pt4'
_symmetry_space_group_name_H-M 'P 4/m b m'
_symmetry_Int_Tables_number 127
_symmetry_space_group_name_Hall '-P 4 2ab'
_cell_length_a 7.669
_cell_length_b 7.669
_cell_length_c 3.004
_cell_angle_alpha 90.00
_cell_angle_beta 90.00
_cell_angle_gamma 90.00
loop_
_atom_site_label
_atom_site_fract_x
_atom_site_fract_y
_atom_site_fract_z
Mg1 0.148 0.352 0.000
Cd1 0.000 0.000 0.500
Pt1 0.148 0.648 0.500
```

The electronic total energy comes out at -3.872 eV/atom. Its density is 10.4 Mg/m³. As for the crystal system: tetragonal. The value obtained for the total magnetization is 0.01 μB/f.u.

---

Entry 12:
A plane-wave DFT calculation with PBE-GGA was carried out for MgCdSiPt after structural relaxation.

CIF file:
```
data_MgCdSiPt
_chemical_formula_sum 'Mg4 Cd4 Si4 Pt4'
_symmetry_space_group_name_H-M 'F -4 3 m'
_symmetry_Int_Tables_number 216
_symmetry_space_group_name_Hall 'F -4 2 3'
_cell_length_a 6.467
_cell_length_b 6.467
_cell_length_c 6.467
_cell_angle_alpha 90.00
_cell_angle_beta 90.00
_cell_angle_gamma 90.00
loop_
_atom_site_label
_atom_site_fract_x
_atom_site_fract_y
_atom_site_fract_z
Mg1 0.000 0.000 0.000
Cd1 0.250 0.250 0.750
Si1 0.000 0.000 0.500
Pt1 0.250 0.250 0.250
```

Its density is 8.8 Mg/m³. As for the crystal system: cubic. The value obtained for the total magnetization is 0.00 μB/f.u. The value obtained for the excess energy over the best structure of this formula in the dataset is 0.000 eV/atom.